YAu2 | meta-GGA SCAN | single point on PBEsol structure

```
YAu2
1.0
4.9038 0.0000 0.0000
-2.4519 4.2468 0.0000
0.0000 0.0000 5.8643
Au Y
4 2
Direct
0.0000 0.0000 0.0000 Au
0.6667 0.3333 0.7500 Au
0.0000 0.0000 0.5000 Au
0.3333 0.6667 0.2500 Au
0.3333 0.6667 0.7500 Y
0.6667 0.3333 0.2500 Y
```

Results
The total moment is 0.000 Bohr magnetons per cell. The value obtained for the density of states at the Fermi level is 1.70 states/eV/f.u. As for the uncorrected energy: -56.350 eV/atom. The formation energy from the elements is -0.964 eV per atom.